The following is a DFT calculation (PBE) of a relaxed TmZrPt crystal.

Structure (extended XYZ):
```
3
Lattice="3.062 0.000 0.000 0.000 3.062 0.000 -1.531 -1.531 7.633" Properties=species:S:1:pos:R:3 pbc="T T T"
Tm 0.000 0.000 1.852
Pt 1.531 1.531 6.844
Zr 1.531 1.531 4.281
```

Calculated values
- Space group: I4mm (107)
- ΔE_f: 0.4 eV per formula unit
- Energy: -18.6 eV per cell
- Density: 10.56 Mg/m³

***

The following is a DFT calculation (PBE) of a relaxed Tm2ZrPt crystal.

Structure (extended XYZ):
```
4
Lattice="3.469 0.000 0.000 0.000 3.469 0.000 0.000 0.000 7.758" Properties=species:S:1:pos:R:3 pbc="T T T"
Tm 0.000 0.000 1.665
Tm 0.000 0.000 6.092
Zr 1.735 1.735 3.879
Pt 1.735 1.735 0.000
```

Calculated values
- Space group: P4/mmm (123)
- ΔE_f: -2.4 eV per formula unit
- Energy: -26.0 eV per cell
- Density: 11.10 Mg/m³

***

The following is a DFT calculation (PBE) of a relaxed Tm3ZrPt12 crystal.

Structure (extended XYZ):
```
16
Lattice="-3.887 -0.412 1.170 1.215 -2.039 3.319 0.999 14.049 8.268" Properties=species:S:1:pos:R:3 pbc="T T T"
Tm 0.250 3.515 2.069
Tm 0.749 10.534 6.199
Tm 0.500 7.024 4.134
Pt -1.318 8.583 5.757
Pt -0.585 9.339 8.461
Pt -1.088 2.258 4.294
Pt -1.066 12.135 7.848
Pt 1.485 11.321 8.922
Pt -1.569 5.054 3.680
Pt 0.729 0.688 2.664
Pt -1.336 -1.226 2.244
Pt -0.837 5.799 6.378
Pt 0.981 4.241 4.755
Pt -1.822 1.502 1.590
Pt 1.232 7.769 6.831
Zr 0.000 0.000 0.000
```

Calculated values
- Space group: P4/mmm (123)
- ΔE_f: -17.4 eV per formula unit
- Energy: -111.8 eV per cell
- Density: 17.95 Mg/m³

***

The following is a DFT calculation (PBE) of a relaxed TmZrPt6 crystal.

Structure (extended XYZ):
```
8
Lattice="-3.698 -1.502 0.805 0.020 -1.961 -3.568 3.408 -6.472 3.577" Properties=species:S:1:pos:R:3 pbc="T T T"
Pt 0.881 -2.635 -0.870
Pt 2.547 -5.799 0.879
Pt -0.135 -4.968 0.407
Pt -0.978 -2.405 1.316
Pt -1.839 -1.732 -1.382
Pt 0.688 -5.569 3.065
Zr 1.704 -3.236 1.788
Tm 0.000 0.000 0.000
```

Calculated values
- Space group: P4/mmm (123)
- ΔE_f: -8.7 eV per formula unit
- Energy: -58.0 eV per cell
- Density: 17.60 Mg/m³

***

The following is a DFT calculation (PBE) of a relaxed UPt6 crystal.

Structure (extended XYZ):
```
28
Lattice="5.454 0.000 0.000 0.000 9.559 0.000 0.000 0.000 9.497" Properties=species:S:1:pos:R:3 pbc="T T T"
Pt 5.434 5.092 7.172
Pt 5.434 0.313 7.073
Pt 4.090 2.744 6.353
Pt 0.019 4.467 2.324
Pt 1.363 7.456 7.250
Pt 1.363 4.084 9.378
Pt 1.363 2.035 1.605
Pt 1.363 6.815 3.143
Pt 1.363 2.677 6.995
Pt 4.090 5.474 0.119
Pt 2.708 9.246 2.424
Pt 2.746 5.092 7.172
Pt 1.363 4.693 4.851
Pt 4.090 7.523 7.892
Pt 4.090 0.695 4.629
Pt 1.363 9.472 9.394
Pt 4.090 4.866 4.646
Pt 4.090 2.103 2.247
Pt 2.708 4.467 2.324
Pt 1.363 8.864 4.867
Pt 4.090 6.882 2.502
Pt 2.746 0.313 7.073
Pt 0.019 9.246 2.424
Pt 4.090 0.087 0.103
U 4.090 2.718 9.057
U 1.363 6.840 0.440
U 4.090 7.498 5.188
U 1.363 2.061 4.308
```

Calculated values
- Space group: Pnma (62)
- ΔE_f: -2.9 eV per formula unit
- Energy: -201.9 eV per cell
- Density: 18.90 Mg/m³

***

The following is a DFT calculation (PBE) of a relaxed UPt6 crystal.

Structure (extended XYZ):
```
7
Lattice="-2.285 -3.675 4.251 4.663 1.321 3.649 -3.136 4.642 2.328" Properties=species:S:1:pos:R:3 pbc="T T T"
Pt -1.075 0.025 6.408
Pt 0.317 2.263 3.820
Pt -1.334 2.557 5.822
Pt -1.798 0.742 4.003
Pt 1.040 1.546 6.224
Pt 0.576 -0.269 4.405
U 0.000 0.000 0.000
```

Calculated values
- Space group: Pm-3m (221)
- ΔE_f: 8.9 eV per formula unit
- Energy: -38.7 eV per cell
- Density: 10.48 Mg/m³

***

It is found that the D(E_F) values, taken in the order of the records, are 1.0347, 1.1078, 0.8583, 0.4030, 1.4893, 1.9759 states/eV/atom.
It is found that the magnetic moment values, taken in the order of the records, are 0.00, 0.00, 0.00, 0.00, 4.92, 3.89 Bohr magnetons per cell.